CdAuO3 GGA-PBE optimized geometry; space-group type = P4mm, No. 99; electronic total energy = -3.832 eV per atom; volume = 67 Å³/cell
1.0
3.979 0.000 0.000
0.000 3.979 0.000
0.000 0.000 4.237
Cd Au O
1 1 3
direct
0.000 0.000 0.000 Cd
0.500 0.500 0.598 Au
0.000 0.500 0.692 O
0.500 0.000 0.692 O
0.500 0.500 0.111 O

=====

CdOs2Au GGA-PBE optimized geometry; space-group type = F-43m, No. 216; volume = 66 Å³/cell; formation energy = 3.15 eV per formula unit
1.0
0.000 3.207 3.207
3.207 0.000 3.207
3.207 3.207 0.000
Cd Os Au
1 2 1
direct
0.000 0.000 0.000 Cd
0.500 0.500 0.500 Os
0.750 0.750 0.750 Os
0.250 0.250 0.250 Au

=====

Cd2OsAu GGA-PBE optimized geometry; space-group type = F-43m, No. 216; volume = 71 Å³/cell; formation energy = 2.19 eV per formula unit
1.0
0.000 3.294 3.294
3.294 0.000 3.294
3.294 3.294 0.000
Cd Os Au
2 1 1
direct
0.000 0.000 0.000 Cd
0.250 0.250 0.250 Cd
0.500 0.500 0.500 Os
0.750 0.750 0.750 Au

=====

CdReOsAu GGA-PBE optimized geometry; space-group type = F-43m, No. 216; volume = 66 Å³/cell; polymorph energy (0 for the lowest one) = 0.0 meV/atom; formation energy = 2.94 eV per formula unit
1.0
0.000 3.210 3.210
3.210 0.000 3.210
3.210 3.210 0.000
Cd Re Os Au
1 1 1 1
direct
0.000 0.000 0.000 Cd
0.250 0.250 0.250 Re
0.500 0.500 0.500 Os
0.750 0.750 0.750 Au

=====

RbCdPbAu GGA-PBE optimized geometry; space-group type = F-43m, No. 216; volume = 111 Å³/cell; polymorph energy (0 for the lowest one) = 87.5 meV/atom
1.0
0.000 3.811 3.811
3.811 0.000 3.811
3.811 3.811 0.000
Rb Cd Pb Au
1 1 1 1
direct
0.000 0.000 0.000 Rb
0.750 0.750 0.750 Cd
0.250 0.250 0.250 Pb
0.500 0.500 0.500 Au

=====

RbCdPbAu GGA-PBE optimized geometry; space-group type = F-43m, No. 216; volume = 117 Å³/cell; polymorph energy (0 for the lowest one) = 0.0 meV/atom
1.0
0.000 3.880 3.880
3.880 0.000 3.880
3.880 3.880 0.000
Rb Cd Pb Au
1 1 1 1
direct
0.000 0.000 0.000 Rb
0.250 0.250 0.250 Cd
0.500 0.500 0.500 Pb
0.750 0.750 0.750 Au

=====

RbCdPbAu GGA-PBE optimized geometry; space-group type = F-43m, No. 216; volume = 114 Å³/cell; polymorph energy (0 for the lowest one) = 101.0 meV/atom
1.0
0.000 3.852 3.852
3.852 0.000 3.852
3.852 3.852 0.000
Rb Cd Pb Au
1 1 1 1
direct
0.000 0.000 0.000 Rb
0.500 0.500 0.500 Cd
0.250 0.250 0.250 Pb
0.750 0.750 0.750 Au

=====

CdPdAu GGA-PBE optimized geometry; space-group type = Cm, No. 8; volume = 106 Å³/cell; polymorph energy (0 for the lowest one) = 0.0 meV/atom; formation energy = -0.93 eV per formula unit
1.0
4.503 -2.099 0.000
4.503 2.099 0.000
-1.543 0.000 5.605
Cd Pd Au
2 2 2
direct
0.000 0.000 0.000 Cd
0.678 0.678 0.344 Cd
0.340 0.340 0.177 Pd
0.668 0.668 0.846 Pd
0.008 0.008 0.505 Au
0.337 0.337 0.680 Au

=====

CdPdAu GGA-PBE optimized geometry; space-group type = F-43m, No. 216; volume = 63 Å³/cell; polymorph energy (0 for the lowest one) = 210.1 meV/atom; formation energy = -0.30 eV per formula unit
1.0
0.000 3.160 3.160
3.160 0.000 3.160
3.160 3.160 0.000
Cd Pd Au
1 1 1
direct
0.000 0.000 0.000 Cd
0.750 0.750 0.750 Pd
0.500 0.500 0.500 Au

=====

CdPd2Au2 GGA-PBE optimized geometry; space-group type = I4/mmm, No. 139; volume = 96 Å³/cell; polymorph energy (0 for the lowest one) = 0.0 meV/atom; formation energy = 0.12 eV per formula unit
1.0
-1.936 1.936 6.434
1.936 -1.936 6.434
1.936 1.936 -6.434
Cd Pd Au
1 2 2
direct
0.000 0.000 0.000 Cd
0.401 0.401 0.000 Pd
0.599 0.599 0.000 Pd
0.250 0.750 0.500 Au
0.750 0.250 0.500 Au

=====

Cd2PdAu GGA-PBE optimized geometry; space-group type = F-43m, No. 216; volume = 73 Å³/cell; formation energy = -0.90 eV per formula unit
1.0
0.000 3.313 3.313
3.313 0.000 3.313
3.313 3.313 0.000
Cd Pd Au
2 1 1
direct
0.000 0.000 0.000 Cd
0.250 0.250 0.250 Cd
0.500 0.500 0.500 Pd
0.750 0.750 0.750 Au

=====

Pr3Cd3Pd2Au GGA-PBE optimized geometry; space-group type = P-62m, No. 189; volume = 217 Å³/cell; formation energy = -5.96 eV per formula unit
1.0
7.863 0.000 0.000
-3.931 6.809 0.000
0.000 0.000 4.054
Pr Cd Pd Au
3 3 2 1
direct
0.000 0.407 0.000 Pr
0.407 0.000 0.000 Pr
0.593 0.593 0.000 Pr
0.000 0.739 0.500 Cd
0.261 0.261 0.500 Cd
0.739 0.000 0.500 Cd
0.333 0.667 0.500 Pd
0.667 0.333 0.500 Pd
0.000 0.000 0.000 Au

=====

Number 1: theoretical density 8.84 g/cm³. Number 2: theoretical density 17.36 g/cm³. Number 3: theoretical density 14.22 g/cm³. Number 4: theoretical density 17.22 g/cm³. Number 5: theoretical density 9.03 g/cm³. Number 6: theoretical density 8.56 g/cm³. Number 7: theoretical density 8.74 g/cm³. Number 8: theoretical density 13.03 g/cm³. Number 9: theoretical density 10.94 g/cm³. Number 10: theoretical density 12.38 g/cm³. Number 11: theoretical density 12.06 g/cm³. Number 12: theoretical density 8.95 g/cm³.